# 1
Entry from Alexandria: an optimized crystal structure of NdEr3In4 (PBE-GGA).

abc: 3.4173 7.1493 18.7434
angles: 90.00 90.00 90.00
Last column: nearest neighbours and their distance in Å.
Space group Immm (No. 71)
Inequivalent atoms, fractional coordinates:
Nd  0.0000  0.0000  0.0000 (multiplicity 2)  4 In 3.18, 2 Nd 3.42
Er  0.0000  0.0000  0.5000 (multiplicity 2)  8 In 3.31, 2 Er 3.42
Er  0.0000  0.5000  0.2802 (multiplicity 4)  6 In 3.19-3.21, 2 Er 3.42
In  0.0000  0.2905  0.1287 (multiplicity 8)  1 In 3.00, 1 Nd 3.18, 5 Er 3.19-3.31

Calculated values
Distance to the lowest polymorph of the same formula: 119 kJ/mol of formula units
Total DFT energy (no corrections): -63.562 eV for the cell shown
Formation energy from the elements: -2.37 eV/f.u.
N(E_F): 6.38 states/eV/f.u.

# 2
Entry from Alexandria: an optimized crystal structure of Nd12Er7In (PBE-GGA).

abc: 15.0295 15.0295 10.2200
angles: 90.00 90.00 120.00
Last column: nearest neighbours and their distance in Å.
Space group R-3 (No. 148, hexagonal axes)
Inequivalent atoms, fractional coordinates:
Nd  0.0413  0.1869  0.2504 (multiplicity 18)  4 Er 3.35-3.61, 3 Nd 3.44-3.72, 1 In 3.62
Nd  0.0440  0.2524  0.5735 (multiplicity 18)  4 Er 3.32-3.65, 2 Nd 3.44-3.52
Er  0.0000  0.0000  0.5000 (multiplicity 3)  12 Nd 3.59-3.61
Er  0.0664  0.2402  0.9282 (multiplicity 18)  1 In 3.31, 6 Nd 3.32-3.65, 3 Er 3.50-3.55
In  0.0000  0.0000  0.0000 (multiplicity 3)  6 Er 3.31, 6 Nd 3.62

Calculated values
Distance to the lowest polymorph of the same formula: 0 kJ/mol of formula units
Total DFT energy (no corrections): -270.498 eV for the cell shown
Formation energy from the elements: 1.73 eV/f.u.
N(E_F): 33.24 states/eV/f.u.

# 3
Entry from Alexandria: an optimized crystal structure of Nd4Er3In4 (PBE-GGA).

abc: 3.6034 9.4460 19.4718
angles: 90.00 90.00 90.00
Last column: nearest neighbours and their distance in Å.
Space group Immm (No. 71)
Inequivalent atoms, fractional coordinates:
Nd  0.0000  0.1750  0.1614 (multiplicity 8)  4 In 3.30-3.32, 3 Nd 3.31-3.60
Er  0.0000  0.0000  0.4069 (multiplicity 4)  6 In 3.11-3.29
Er  0.0000  0.5000  0.5000 (multiplicity 2)  4 In 3.21
In  0.0000  0.2812  0.0000 (multiplicity 4)  6 Er 3.21-3.29, 2 Nd 3.30
In  0.0000  0.5000  0.2234 (multiplicity 4)  2 Er 3.11, 6 Nd 3.30-3.32

Calculated values
Total DFT energy (no corrections): -94.215 eV for the cell shown
Formation energy from the elements: -3.39 eV/f.u.
N(E_F): 10.24 states/eV/f.u.

# 4
Entry from Alexandria: an optimized crystal structure of Nd4Er7In (PBE-GGA).

abc: 12.1709 5.8243 12.4409
angles: 90.00 115.26 90.00
Last column: nearest neighbours and their distance in Å.
Space group C2/m (No. 12)
Inequivalent atoms, fractional coordinates:
Nd  0.1234  0.0000  0.2681 (multiplicity 4)  6 Er 3.35-3.69, 2 Nd 3.52
Nd  0.1723  0.5000  0.1357 (multiplicity 4)  4 Er 3.30-3.44, 2 Nd 3.52
Er  0.0000  0.0000  0.5000 (multiplicity 2)  2 In 2.91
Er  0.0960  0.5000  0.7768 (multiplicity 4)  1 In 3.13, 2 Er 3.37-3.40
Er  0.1324  0.0000  0.9841 (multiplicity 4)  5 Nd 3.30-3.58, 2 Er 3.37-3.41
Er  0.2005  0.5000  0.4232 (multiplicity 4)  1 In 2.98
In  0.0000  0.5000  0.5000 (multiplicity 2)  6 Er 2.91-3.13

Calculated values
Total DFT energy (no corrections): -103.342 eV for the cell shown
Formation energy from the elements: 2.08 eV/f.u.
N(E_F): 18.99 states/eV/f.u.

# 5
Entry from Alexandria: an optimized crystal structure of NdEr3In3 (PBE-GGA).

abc: 9.3124 9.3124 9.3124
angles: 90.00 90.00 90.00
Last column: nearest neighbours and their distance in Å.
Space group P2_13 (No. 198)
Inequivalent atoms, fractional coordinates:
Nd  0.0490  0.4510  0.5490 (multiplicity 4)  6 In 3.31-3.59, 4 Er 3.51-3.53
Er  0.1174  0.6174  0.8826 (multiplicity 4)  6 In 3.17-3.31, 1 Er 3.46, 3 Nd 3.53
Er  0.1684  0.1684  0.1684 (multiplicity 4)  6 In 3.12-3.22, 1 Er 3.46
Er  0.1994  0.8006  0.3006 (multiplicity 4)  6 In 3.14-3.32
In  0.0053  0.8004  0.5998 (multiplicity 12)  6 Er 3.12-3.32, 1 Nd 3.31, 2 In 3.47

Calculated values
Distance to the lowest polymorph of the same formula: 28 kJ/mol of formula units
Total DFT energy (no corrections): -115.481 eV for the cell shown
Formation energy from the elements: -2.20 eV/f.u.
N(E_F): 6.22 states/eV/f.u.

# 6
Entry from Alexandria: an optimized crystal structure of Nd5ErIn2 (PBE-GGA).

abc: 7.0248 14.0552 4.9495
angles: 90.00 90.00 90.00
Last column: nearest neighbours and their distance in Å.
Space group Pbam (No. 55)
Inequivalent atoms, fractional coordinates:
Nd  0.0000  0.0000  0.0000 (multiplicity 2)  6 Nd 3.49-3.55, 4 In 3.51, 2 Er 3.51
Nd  0.0031  0.2528  0.0000 (multiplicity 4)  1 Er 3.47, 7 Nd 3.49-3.55, 4 In 3.49-3.55
Nd  0.2484  0.8761  0.5000 (multiplicity 4)  4 In 3.47-3.56, 6 Nd 3.49-3.54, 2 Er 3.50
Er  0.0000  0.5000  0.0000 (multiplicity 2)  4 In 3.47, 8 Nd 3.47-3.51
In  0.2444  0.6227  0.5000 (multiplicity 4)  10 Nd 3.47-3.56, 2 Er 3.47

Calculated values
Total DFT energy (no corrections): -72.102 eV for the cell shown
Formation energy from the elements: -2.17 eV/f.u.
N(E_F): 11.85 states/eV/f.u.

# 7
Entry from Alexandria: an optimized crystal structure of Nd3Er3In (PBE-GGA).

abc: 9.4988 9.4988 5.5996
angles: 90.00 90.00 120.00
Last column: nearest neighbours and their distance in Å.
Space group P6_3/m (No. 176)
Inequivalent atoms, fractional coordinates:
Nd  0.1061  0.4750  0.2500 (multiplicity 6)  3 In 3.45-3.69, 4 Nd 3.48-3.62, 5 Er 3.49-3.78
Er  0.0589  0.2357  0.7500 (multiplicity 6)  6 Er 3.45-3.49, 5 Nd 3.49-3.78, 1 In 3.59
In  0.3333  0.6667  0.7500 (multiplicity 2)  9 Nd 3.45-3.69, 3 Er 3.59

Calculated values
Total DFT energy (no corrections): -63.044 eV for the cell shown
Formation energy from the elements: -0.79 eV/f.u.
N(E_F): 9.90 states/eV/f.u.

# 8
Entry from Alexandria: an optimized crystal structure of Nd3Er3In2 (PBE-GGA).

abc: 5.1264 11.8597 16.5406
angles: 90.00 90.00 90.00
Last column: nearest neighbours and their distance in Å.
Space group Cmcm (No. 63)
Inequivalent atoms, fractional coordinates:
Nd  0.0000  0.0435  0.1038 (multiplicity 8)  3 In 3.38-3.66, 6 Er 3.52-3.67, 2 Nd 3.59-3.61
Nd  0.0000  0.2700  0.2500 (multiplicity 4)  4 In 3.25, 1 Er 3.32, 2 Nd 3.61
Er  0.0000  0.3612  0.0395 (multiplicity 8)  3 In 3.15-3.19, 2 Nd 3.52
Er  0.0000  0.4504  0.7500 (multiplicity 4)  2 In 3.20, 5 Nd 3.32-3.52
In  0.0000  0.2391  0.6296 (multiplicity 8)  4 Er 3.15-3.20, 3 Nd 3.25-3.38

Calculated values
Distance to the lowest polymorph of the same formula: 77 kJ/mol of formula units
Total DFT energy (no corrections): -139.066 eV for the cell shown
Formation energy from the elements: -1.30 eV/f.u.
N(E_F): 9.59 states/eV/f.u.

# 9
Entry from Alexandria: an optimized crystal structure of Nd5Er12In2 (PBE-GGA).

abc: 15.3785 9.2955 8.3544
angles: 90.00 92.14 90.00
Last column: nearest neighbours and their distance in Å.
Space group C2/m (No. 12)
Inequivalent atoms, fractional coordinates:
Nd  0.0000  0.0000  0.0000 (multiplicity 2)  10 Er 3.35-3.71, 2 Nd 3.63
Nd  0.1961  0.5000  0.5121 (multiplicity 4)  2 In 3.44, 8 Er 3.48-3.69, 1 Nd 3.57
Nd  0.2337  0.0000  0.0759 (multiplicity 4)  8 Er 3.34-3.56, 2 Nd 3.57-3.63
Er  0.0534  0.5000  0.8262 (multiplicity 4)  2 In 3.27, 7 Er 3.30-3.53, 2 Nd 3.34-3.48
Er  0.0775  0.0000  0.3798 (multiplicity 4)  5 Er 3.17-3.54, 1 Nd 3.35, 2 In 3.39
Er  0.1267  0.3072  0.1697 (multiplicity 8)  5 Er 3.30-3.59, 3 Nd 3.40-3.51, 1 In 3.44
Er  0.1439  0.1832  0.7358 (multiplicity 8)  1 In 3.18, 3 Er 3.36-3.54, 1 Nd 3.55
In  0.0000  0.3220  0.5000 (multiplicity 4)  8 Er 3.18-3.44, 1 In 3.31, 2 Nd 3.44

Calculated values
Total DFT energy (no corrections): -168.631 eV for the cell shown
Formation energy from the elements: -0.25 eV/f.u.
N(E_F): 26.07 states/eV/f.u.

Question: Which of these has the highest N(E_F)?
Answer: Nd12Er7In

Question: Number 5 is which compound?
Answer: NdEr3In3